The following is a DFT calculation (PBE) of crystalline TiPN3 at its relaxed geometry.

Values from the calculation:
uncorrected formation energy: 0.104 eV/atom

Lattice parameters (Å, degrees): 3.458 3.458 3.458 90.00 90.00 90.00
Fractional coordinates of all 5 atoms:
1 Ti 0.000 0.000 0.000
2 P 0.500 0.500 0.500
3 N 0.000 0.500 0.500
4 N 0.500 0.000 0.500
5 N 0.500 0.500 0.000